Computed, not measured: a relaxed AcPrAgP crystal at the PBE level of DFT.

The calculation puts the size of the total moment at 0.006 Bohr magnetons per cell. For the total energy, the calculation gives -4.84 eV/atom. Its formation energy is -553 meV/atom.

a = 5.3234 Å, b = 5.3234 Å, c = 5.3234 Å
α = 60.00°, β = 60.00°, γ = 60.00°
Atoms (fractional coordinates):
P (0.2500, 0.2500, 0.2500)
Ac (0.0000, 0.0000, 0.0000)
Pr (0.5000, 0.5000, 0.5000)
Ag (0.7500, 0.7500, 0.7500)